SrCu2Pt after structural relaxation. Source: Alexandria, functional PBE-GGA.

```
data_SrCu2Pt
_cell_length_a 3.123
_cell_length_b 4.032
_cell_length_c 6.339
_cell_angle_alpha 90.00
_cell_angle_beta 103.93
_cell_angle_gamma 90.00
_symmetry_space_group_name_H-M 'P 1 m 1'
_symmetry_Int_Tables_number 6
loop_
_symmetry_equiv_pos_as_xyz
'x,y,z'
'x,-y,z'
loop_
_atom_site_label
_atom_site_type_symbol
_atom_site_fract_x
_atom_site_fract_y
_atom_site_fract_z
Sr1 Sr 0.000 0.000 0.000
Cu1 Cu 0.654 0.500 0.307
Cu2 Cu 0.766 0.000 0.528
Pt1 Pt 0.327 0.500 0.651
```

Summary:
N(E_F) (states/eV/f.u.): 2.01
E (eV/atom): -4.0403
Spin magnetization (μB per formula unit): 0.0
E_form (meV/atom): -62
Crystal system: monoclinic